DFT (PBEsol) results for an optimized crystal structure of Ba2Sn.

a b c (Å): 8.528 5.592 10.570
angles (deg): 90.00 90.00 90.00
Space group Pnma (No. 62)
One atom of each set of equivalent atoms:
Ba 0.022 0.250 0.182
Ba 0.158 0.250 0.579
Sn 0.247 0.250 0.896

Total magnetization in μB/cell: 0.00
DFT formation energy in kcal/mol of atoms: -14.381

DFT (PBEsol) results for an optimized crystal structure of BaSn3.

a b c (Å): 7.2125 7.2125 5.4708
angles (deg): 90.00 90.00 120.00
Space group P6_3/mmc (No. 194)
One atom of each set of equivalent atoms:
Ba 0.3333 0.6667 0.2500
Sn 0.1413 0.2825 0.7500

Total magnetization in μB/cell: 0.00
DFT formation energy in kcal/mol of atoms: -11.622

DFT (PBEsol) results for an optimized crystal structure of Ba5Sn3.

a b c (Å): 8.881 8.881 16.956
angles (deg): 90.00 90.00 90.00
Space group I4/mcm (No. 140)
One atom of each set of equivalent atoms:
Ba 0.000 0.000 0.000
Ba 0.179 0.321 0.144
Sn 0.000 0.000 0.250
Sn 0.115 0.385 0.500

Total magnetization in μB/cell: 0.48
DFT formation energy in kcal/mol of atoms: -14.698

DFT (PBEsol) results for an optimized crystal structure of Ba3SrSn12.

a b c (Å): 5.417 7.170 12.330
angles (deg): 90.00 90.00 90.00
Space group Pmm2 (No. 25)
One atom of each set of equivalent atoms:
Ba 0.000 0.000 0.000
Ba 0.000 0.500 0.500
Ba 0.500 0.000 0.332
Sr 0.500 0.500 0.831
Sn 0.000 0.000 0.527
Sn 0.000 0.219 0.742
Sn 0.000 0.288 0.234
Sn 0.000 0.500 0.015
Sn 0.500 0.000 0.812
Sn 0.500 0.216 0.598
Sn 0.500 0.287 0.089
Sn 0.500 0.500 0.306

Total magnetization in μB/cell: 0.00
DFT formation energy in kcal/mol of atoms: -11.130

DFT (PBEsol) results for an optimized crystal structure of BaTcSn2.

a b c (Å): 7.231 7.231 7.231
angles (deg): 90.00 90.00 90.00
Space group Fm-3m (No. 225)
One atom of each set of equivalent atoms:
Ba 0.000 0.000 0.000
Tc 0.000 0.000 0.500
Sn 0.250 0.250 0.250

Total magnetization in μB/cell: 1.79
DFT formation energy in kcal/mol of atoms: 7.262

DFT (PBEsol) results for an optimized crystal structure of BaTc2Sn2.

a b c (Å): 4.345 4.345 12.498
angles (deg): 90.00 90.00 90.00
Space group I4/mmm (No. 139)
One atom of each set of equivalent atoms:
Ba 0.000 0.000 0.000
Tc 0.000 0.500 0.250
Sn 0.000 0.000 0.374

Total magnetization in μB/cell: 3.73
DFT formation energy in kcal/mol of atoms: 2.809

DFT (PBEsol) results for an optimized crystal structure of BaY2TcSn.

a b c (Å): 5.281 5.281 5.483
angles (deg): 90.00 90.00 90.00
Space group P4/mmm (No. 123)
One atom of each set of equivalent atoms:
Ba 0.000 0.000 0.000
Y 0.000 0.500 0.500
Tc 0.000 0.000 0.500
Sn 0.500 0.500 0.000

Total magnetization in μB/cell: 0.00
DFT formation energy in kcal/mol of atoms: 3.722

DFT (PBEsol) results for an optimized crystal structure of Ba3SnTe.

a b c (Å): 6.463 6.463 6.463
angles (deg): 90.00 90.00 90.00
Space group Pm-3m (No. 221)
One atom of each set of equivalent atoms:
Ba 0.000 0.000 0.500
Sn 0.000 0.000 0.000
Te 0.500 0.500 0.500

Uncorrected formation energy in eV per formula unit: -2.56
Total magnetization in μB/cell: 0.00

DFT (PBEsol) results for an optimized crystal structure of BaZr2SnTe.

a b c (Å): 5.391 5.391 6.066
angles (deg): 90.00 90.00 90.00
Space group P4/mmm (No. 123)
One atom of each set of equivalent atoms:
Ba 0.000 0.000 0.000
Zr 0.000 0.500 0.500
Sn 0.500 0.500 0.500
Te 0.500 0.500 0.000

Uncorrected formation energy in eV per formula unit: 2.43
Total magnetization in μB/cell: 2.58

DFT (PBEsol) results for an optimized crystal structure of Ba3TiSn.

a b c (Å): 6.534 6.534 6.534
angles (deg): 90.00 90.00 90.00
Space group Pm-3m (No. 221)
One atom of each set of equivalent atoms:
Ba 0.000 0.000 0.500
Ti 0.500 0.500 0.500
Sn 0.000 0.000 0.000

Total magnetization in μB/cell: 4.05
DFT formation energy in kcal/mol of atoms: 13.609

DFT (PBEsol) results for an optimized crystal structure of BaTl3Sn.

a b c (Å): 5.730 5.730 5.730
angles (deg): 90.00 90.00 90.00
Space group Pm-3m (No. 221)
One atom of each set of equivalent atoms:
Ba 0.000 0.000 0.000
Tl 0.000 0.500 0.500
Sn 0.500 0.500 0.500

Total magnetization in μB/cell: 0.00
DFT formation energy in kcal/mol of atoms: 0.835

DFT (PBEsol) results for an optimized crystal structure of Ba2TlSn2.

a b c (Å): 8.141 8.141 5.296
angles (deg): 90.00 90.00 90.00
Space group P4/mbm (No. 127)
One atom of each set of equivalent atoms:
Ba 0.171 0.329 0.000
Tl 0.000 0.000 0.500
Sn 0.128 0.628 0.500

Total magnetization in μB/cell: 0.00
DFT formation energy in kcal/mol of atoms: -12.064

no.,V (Å³ per cell)
1,504
2,246
3,1337
4,479
5,378
6,236
7,153
8,270
9,176
10,279
11,188
12,351